## AlFeReO2 (PBE+U)

Data for a relaxed AlFeReO2 crystal.

Unit cell a=3.666 b=3.666 c=5.672 alpha=90.00 beta=90.00 gamma=90.00
Space group P4/mmm (No. 123)
Unique sites:
1 Al 0.000 0.000 0.000 [1 per cell]
2 Fe 0.000 0.000 0.500 [1 per cell]
3 Re 0.500 0.500 0.000 [1 per cell]
4 O 0.000 0.500 0.500 [2 per cell]

Output
DOS(E_F) in states/eV/atom: 0.274
Calculated total energy in eV/atom: -5.92